# 1
Below is a relaxed structure of LaCr2SbW, with properties calculated at the PBE-GGA level.

Structure (POSCAR):
```
LaCr2SbW
1.0
4.4005 0.0000 0.0000
0.0000 4.4005 0.0000
0.0000 0.0000 5.6895
La Cr Sb W
1 2 1 1
direct
0.0000 0.0000 0.0000 La
0.0000 0.5000 0.0000 Cr
0.5000 0.0000 0.0000 Cr
0.0000 0.0000 0.5000 Sb
0.5000 0.5000 0.5000 W
```

* symmetry: P4/mmm
* ρ: 8.267 g/cm3
* V: 22.03 Å³/atom
* ΔE_f (raw): 2.455 eV/atom

# 2
Below is a relaxed structure of Be3IrI, with properties calculated at the PBE-GGA level.

Structure (POSCAR):
```
Be3IrI
1.0
4.4860 0.0000 0.0000
0.0000 4.4860 0.0000
0.0000 0.0000 4.4860
Be Ir I
3 1 1
direct
0.0000 0.0000 0.5000 Be
0.0000 0.5000 0.0000 Be
0.5000 0.0000 0.0000 Be
0.5000 0.5000 0.5000 Ir
0.0000 0.0000 0.0000 I
```

* symmetry: Pm-3m
* ρ: 6.367 g/cm3
* V: 18.06 Å³/atom
* ΔE_f (raw): 2.044 eV/atom

# 3
Below is a relaxed structure of TmZnTc, with properties calculated at the PBE-GGA level.

Structure (POSCAR):
```
TmZnTc
1.0
-2.6116 2.6550 3.9175
2.6116 -2.6550 3.9175
2.6116 2.6550 -3.9175
Tm Zn Tc
2 2 2
direct
0.3685 0.1185 0.2500 Tm
0.6315 0.8815 0.7500 Tm
0.0000 0.5000 0.5000 Zn
0.5000 0.5000 0.0000 Zn
0.0000 0.0000 0.5000 Tc
0.0000 0.5000 0.0000 Tc
```

* energy relative to the elements: -0.2979 eV per atom
* symmetry: Imma
* ρ: 10.158 g/cm3
* V: 18.11 Å³/atom

Please write out number 3 again, unchanged.
Below is a relaxed structure of TmZnTc, with properties calculated at the PBE-GGA level.

Structure (POSCAR):
```
TmZnTc
1.0
-2.6116 2.6550 3.9175
2.6116 -2.6550 3.9175
2.6116 2.6550 -3.9175
Tm Zn Tc
2 2 2
direct
0.3685 0.1185 0.2500 Tm
0.6315 0.8815 0.7500 Tm
0.0000 0.5000 0.5000 Zn
0.5000 0.5000 0.0000 Zn
0.0000 0.0000 0.5000 Tc
0.0000 0.5000 0.0000 Tc
```

* energy relative to the elements: -0.2979 eV per atom
* symmetry: Imma
* ρ: 10.158 g/cm3
* V: 18.11 Å³/atom

Question: Among the records above, which one has the lowest ρ?
Answer: Be3IrI

Question: What is the V in the second record?
Answer: 18.06 Å³/atom

Question: What is the ρ in the second record?
Answer: 6.367 g/cm3